First-principles (PBE with a Hubbard U) data for an optimized crystal structure of Na4Ni3BiO8, as listed in Alexandria.

Calculated values
- DOS(E_F): 4.07 states/eV per cell
- Calculated volume: 11.46 Å³/atom
- SG: No. 166
- Energy: -4.766 eV/atom

Cell lengths 6.2421, 6.5184, 6.2424 Å; angles 118.60, 120.00, 90.00 degrees
Closest atoms and distances in Å follow each position.
Positions (direct):
Na: 0.5000 0.0000 0.0000  6 O 2.38
Na: 0.5000 0.0000 0.5000  6 O 2.39-2.47
Na: 0.0000 0.0000 0.0000  6 O 2.39-2.48
Na: 0.0000 0.0000 0.5000  6 O 2.39-2.47
Ni: 0.5000 0.5000 0.0000  6 O 2.07-2.14
Ni: 0.5000 0.5000 0.5000  6 O 2.07-2.14
Ni: 0.0000 0.5000 0.5000  6 O 2.07-2.14
Bi: 0.0000 0.5000 0.0000  6 O 2.15
O: 0.2380 0.7123 0.9742  2 Ni 2.14, 1 Bi 2.15, 3 Na 2.38-2.39
O: 0.2381 0.7124 0.4762  2 Ni 2.14, 1 Bi 2.15, 3 Na 2.38-2.39
O: 0.2708 0.3122 0.5415  3 Ni 2.07
O: 0.7362 0.7123 0.9742  2 Ni 2.14, 1 Bi 2.15, 3 Na 2.38-2.39
O: 0.2638 0.2877 0.0258  2 Ni 2.14, 1 Bi 2.15, 3 Na 2.38-2.39
O: 0.7292 0.6878 0.4585  3 Ni 2.07
O: 0.7619 0.2876 0.5238  2 Ni 2.14, 1 Bi 2.15, 3 Na 2.38-2.39
O: 0.7620 0.2877 0.0258  2 Ni 2.14, 1 Bi 2.15, 3 Na 2.38-2.39